(1)
Entry from the Alexandria database: an optimized crystal structure of LiMgPd2Pb (PBE-GGA).

Geometry as POSCAR:
```
LiMgPd2Pb
1.0
4.4768 0.0000 0.0000
0.0000 4.4768 0.0000
0.0000 0.0000 4.6905
Li Mg Pd Pb
1 1 2 1
Direct
0.0000 0.0000 0.0000
0.5000 0.5000 0.5000
0.0000 0.5000 0.0000
0.5000 0.0000 0.0000
0.0000 0.0000 0.5000
```

Formation enthalpy at 0 K, eV/atom: 0.04
Raw total energy, Ry per atom: -0.2556

(2)
Entry from the Alexandria database: an optimized crystal structure of Dy2TlSn3Te6 (PBE-GGA).

Geometry as POSCAR:
```
Dy2TlSn3Te6
1.0
9.8483 -2.2160 0.0000
9.8483 2.2160 0.0000
-2.1836 0.0000 9.0966
Dy Tl Sn Te
2 1 3 6
Direct
0.1693 0.1693 0.3460
0.8307 0.8307 0.6540
0.5000 0.5000 0.0000
0.1583 0.1583 0.8451
0.5000 0.5000 0.5000
0.8417 0.8417 0.1549
0.0096 0.0096 0.2689
0.3222 0.3222 0.8885
0.3318 0.3318 0.4162
0.6682 0.6682 0.5838
0.6778 0.6778 0.1115
0.9904 0.9904 0.7311
```

Raw total energy, Ry per atom: -0.3067
Formation energy from raw total energies, eV per atom: -0.637

(3)
Entry from the Alexandria database: an optimized crystal structure of LaThBiO2 (PBE-GGA).

Geometry as POSCAR:
```
LaThBiO2
1.0
4.1116 0.0000 0.0000
0.0000 4.1116 0.0000
0.0000 0.0000 13.1007
La Th Bi O
2 2 2 4
Direct
0.0000 0.0000 0.0000
0.5000 0.5000 0.5000
0.0000 0.0000 0.3093
0.5000 0.5000 0.8093
0.0000 0.0000 0.6544
0.5000 0.5000 0.1544
0.0000 0.5000 0.3955
0.0000 0.5000 0.8955
0.5000 0.0000 0.3955
0.5000 0.0000 0.8955
```

Raw total energy, Ry per atom: -0.5837
Formation energy from raw total energies, eV per atom: -2.713

- Which of these has the highest raw total energy?
  LiMgPd2Pb

- Which formula does entry 1 have?
  LiMgPd2Pb

- Number 3 is which compound?
  LaThBiO2